1.
A plane-wave DFT calculation with PBE was carried out for a relaxed NiMo2Au crystal.

Cell lengths 9.357, 9.357, 9.357 Å; angles 16.98, 16.98, 16.98 degrees
Fractional positions:
Ni1 0.000 0.000 0.000
Mo1 0.256 0.256 0.256
Mo2 0.744 0.744 0.744
Au1 0.500 0.500 0.500

Summary:
Energy above the most stable polymorph in this dataset, kcal/mol of atoms: 4.35
DFT formation energy, meV per atom: 302
M_tot, Bohr magnetons per cell: 0.000



2.
A plane-wave DFT calculation with PBE was carried out for a relaxed ScCuRh2 crystal.

Cell lengths 4.438, 2.992, 4.743 Å; angles 90.00, 107.51, 90.00 degrees
Fractional positions:
Sc1 0.000 0.000 0.000
Cu1 0.000 0.500 0.500
Rh1 0.500 0.000 0.500
Rh2 0.500 0.500 0.000

Summary:
DFT formation energy, meV per atom: -421
M_tot, Bohr magnetons per cell: 0.000



3.
A plane-wave DFT calculation with PBE was carried out for a relaxed AcHoS2 crystal.

Cell lengths 7.370, 7.370, 7.370 Å; angles 31.52, 31.52, 31.52 degrees
Fractional positions:
Ac1 0.000 0.000 0.000
Ho1 0.500 0.500 0.500
S1 0.238 0.238 0.238
S2 0.762 0.762 0.762

Summary:
Energy above the most stable polymorph in this dataset, kcal/mol of atoms: 0.00
ΔE_f (raw), kcal/mol of atoms: -45.7
M_tot, Bohr magnetons per cell: 0.000